A geometry-optimized CoRuO structure, computed with PBE with a Hubbard U.

```
CoRuO
1.0
-2.014 -1.839 0.473
6.571 -8.363 -4.540
1.674 -0.820 3.934
O Co Ru
4 4 4
Cartesian
4.048 -7.033 -2.013
2.164 -3.980 1.834
6.457 -7.242 -0.673
1.769 -1.931 0.020
3.433 -5.968 -0.493
3.499 -5.397 2.006
7.792 -8.659 -0.501
1.154 -0.867 1.540
5.762 -6.075 0.907
1.470 -2.814 3.414
3.187 -3.453 0.141
5.466 -8.554 -1.892
```

Calculated values
**Total moment**: 10.19 μB/cell
**DFT total energy**: -6.548 eV/atom
**N(E_F)**: 2.06 states/eV/f.u.